5
Lattice="3.9710 0.0000 0.0000 0.0000 3.9710 0.0000 0.0000 0.0000 4.1359" Properties=species:S:1:pos:R:3 comment="VSeNF2 | Alexandria via LeMat-Bulk | PBE with a Hubbard U | optimized geometry" de_polymorph_ev_per_fu=0.00 crystal_system=tetragonal mass_density_g_cm3=4.63 pbc="T T T"
Se 1.9855 1.9855 2.0679
V 0.0000 0.0000 0.0000
F 1.9855 0.0000 0.0000
F 0.0000 1.9855 0.0000
N 0.0000 0.0000 2.0679